DFT (PBE) results for Fe2Co2Os after structural relaxation.

```
Fe2Co2Os
1.0
6.6282 0.0000 0.0000
0.0000 6.6282 0.0000
0.0000 0.0000 2.6756
Os Co Fe
2 4 4
Direct
0.0000 0.0000 0.0000 Os
0.5000 0.5000 0.0000 Os
0.8724 0.6276 0.0000 Co
0.6276 0.1276 0.0000 Co
0.1276 0.3724 0.0000 Co
0.3724 0.8724 0.0000 Co
0.3286 0.1714 0.5000 Fe
0.6714 0.8286 0.5000 Fe
0.1714 0.6714 0.5000 Fe
0.8286 0.3286 0.5000 Fe
```

Calculated values
Distance to the lowest polymorph of the same formula: 0 meV per atom

DFT (PBE) results for Fe2CoOs2 after structural relaxation.

```
Fe2CoOs2
1.0
6.9506 0.0000 0.0000
0.0000 6.9506 0.0000
0.0000 0.0000 2.6242
Fe Os Co
4 4 2
Direct
0.1209 0.3791 0.0000 Fe
0.6209 0.1209 0.0000 Fe
0.3791 0.8791 0.0000 Fe
0.8791 0.6209 0.0000 Fe
0.6743 0.8257 0.5000 Os
0.3257 0.1743 0.5000 Os
0.8257 0.3257 0.5000 Os
0.1743 0.6743 0.5000 Os
0.5000 0.5000 0.0000 Co
0.0000 0.0000 0.0000 Co
```

Calculated values
Distance to the lowest polymorph of the same formula: 0 meV per atom

DFT (PBE) results for FeCoOs3 after structural relaxation.

```
FeCoOs3
1.0
4.3457 0.0000 0.0000
0.0000 4.3457 0.0000
0.0000 0.0000 4.3457
Os Co Fe
3 1 1
Direct
0.0000 0.5000 0.0000 Os
0.0000 0.0000 0.5000 Os
0.5000 0.0000 0.0000 Os
0.5000 0.5000 0.5000 Co
0.0000 0.0000 0.0000 Fe
```

Calculated values
Distance to the lowest polymorph of the same formula: 0 meV per atom

DFT (PBE) results for Fe3Co5Os12 after structural relaxation.

```
Fe3Co5Os12
1.0
11.9056 0.0000 0.0000
-3.9685 11.2247 0.0000
-3.9685 -5.6123 9.7209
Co Os Fe
20 48 12
Direct
0.6250 0.8750 0.2500 Co
0.2500 0.8750 0.1250 Co
0.8750 0.6250 0.7500 Co
0.0000 0.5000 0.0000 Co
0.5000 0.5000 0.5000 Co
0.5000 0.0000 0.0000 Co
0.2500 0.3750 0.6250 Co
0.0000 0.5000 0.5000 Co
0.8750 0.2500 0.6250 Co
0.7500 0.6250 0.3750 Co
0.7500 0.1250 0.8750 Co
0.6250 0.7500 0.8750 Co
0.3750 0.1250 0.7500 Co
0.0000 0.0000 0.5000 Co
0.1250 0.7500 0.3750 Co
0.5000 0.0000 0.5000 Co
0.0000 0.0000 0.0000 Co
0.3750 0.2500 0.1250 Co
0.1250 0.3750 0.2500 Co
0.5000 0.5000 0.0000 Co
0.4347 0.7674 0.8595 Os
0.4347 0.6673 0.0751 Os
0.9079 0.0751 0.6405 Os
0.2326 0.5653 0.6405 Os
0.4079 0.2674 0.3327 Os
0.1673 0.0921 0.7326 Os
0.5653 0.3327 0.9249 Os
0.2674 0.4079 0.8327 Os
0.7674 0.3327 0.9079 Os
0.1673 0.0751 0.9347 Os
0.1405 0.7326 0.5653 Os
0.7326 0.5921 0.1673 Os
0.9347 0.5751 0.1673 Os
0.6405 0.0653 0.2326 Os
0.9249 0.8327 0.5653 Os
0.3595 0.4249 0.0921 Os
0.0921 0.9249 0.3595 Os
0.7674 0.4347 0.3595 Os
0.2326 0.6673 0.0921 Os
0.1405 0.4079 0.0751 Os
0.6405 0.5751 0.9079 Os
0.4079 0.1405 0.5751 Os
0.0751 0.1673 0.4347 Os
0.5751 0.9347 0.6673 Os
0.8595 0.2674 0.4347 Os
0.0653 0.6405 0.7326 Os
0.0921 0.1673 0.2326 Os
0.5751 0.6405 0.4079 Os
0.3595 0.9347 0.7674 Os
0.8327 0.9079 0.2674 Os
0.5653 0.2326 0.1405 Os
0.5921 0.8595 0.4249 Os
0.6673 0.2326 0.5921 Os
0.8327 0.9249 0.0653 Os
0.4249 0.3595 0.5921 Os
0.0653 0.4249 0.8327 Os
0.7326 0.1405 0.0653 Os
0.9079 0.8327 0.7674 Os
0.6673 0.4347 0.5751 Os
0.4249 0.0653 0.3327 Os
0.3327 0.7674 0.4079 Os
0.3327 0.5653 0.4249 Os
0.2674 0.8595 0.9347 Os
0.9347 0.3595 0.2674 Os
0.9249 0.0921 0.8595 Os
0.5921 0.7326 0.6673 Os
0.0751 0.9079 0.1405 Os
0.8595 0.5921 0.9249 Os
0.6250 0.2500 0.3750 Fe
0.7500 0.3750 0.1250 Fe
0.1250 0.8750 0.7500 Fe
0.7500 0.8750 0.6250 Fe
0.6250 0.3750 0.7500 Fe
0.2500 0.1250 0.3750 Fe
0.3750 0.7500 0.6250 Fe
0.1250 0.2500 0.8750 Fe
0.2500 0.6250 0.8750 Fe
0.8750 0.7500 0.1250 Fe
0.3750 0.6250 0.2500 Fe
0.8750 0.1250 0.2500 Fe
```

Calculated values
Raw total energy: -8.667 eV/atom

DFT (PBE) results for Fe4CoOs after structural relaxation.

```
Fe4CoOs
1.0
0.0000 3.2619 3.2619
3.2619 0.0000 3.2619
3.2619 3.2619 0.0000
Co Fe Os
1 4 1
Direct
0.0000 0.0000 0.0000 Co
0.8765 0.3745 0.3745 Fe
0.3745 0.3745 0.3745 Fe
0.3745 0.3745 0.8765 Fe
0.3745 0.8765 0.3745 Fe
0.7500 0.7500 0.7500 Os
```

Calculated values
Raw total energy: -8.498 eV/atom

DFT (PBE) results for Fe2CoOs2 after structural relaxation.

```
Fe2CoOs2
1.0
3.7989 0.0000 0.0000
0.0000 3.7989 0.0000
1.8994 1.8994 4.8877
Fe Co Os
2 1 2
Direct
0.6019 0.6019 0.7962 Fe
0.3981 0.3981 0.2038 Fe
0.0000 0.0000 0.0000 Co
0.7500 0.2500 0.5000 Os
0.2500 0.7500 0.5000 Os
```

Calculated values
Distance to the lowest polymorph of the same formula: 348 meV per atom

DFT (PBE) results for Fe2Co2Os after structural relaxation.

```
Fe2Co2Os
1.0
-4.1728 -2.1252 -4.8419
5.0311 0.3029 -4.4687
0.6211 -2.4364 0.5341
Fe Co Os
4 4 2
Direct
0.6206 0.1206 0.0000 Fe
0.8794 0.6206 0.0000 Fe
0.1206 0.3794 0.0000 Fe
0.3794 0.8794 0.0000 Fe
0.3223 0.1777 0.5000 Co
0.8223 0.3223 0.5000 Co
0.1777 0.6777 0.5000 Co
0.6777 0.8223 0.5000 Co
0.0000 0.0000 0.0000 Os
0.5000 0.5000 0.0000 Os
```

Calculated values
Distance to the lowest polymorph of the same formula: 46 meV per atom

DFT (PBE) results for FeCoSbOs2 after structural relaxation.

```
FeCoSbOs2
1.0
4.7989 0.0000 0.0000
0.0000 4.5000 0.0000
0.0000 0.0000 4.7989
Sb Os Co Fe
1 2 1 1
Direct
0.0000 0.0000 0.0000 Sb
0.0000 0.0000 0.5000 Os
0.5000 0.0000 0.0000 Os
0.0000 0.5000 0.0000 Co
0.5000 0.5000 0.5000 Fe
```

Calculated values
Raw formation energy: 2.55 eV per atom

| no. | size of the total moment (μB per formula unit) |
| --- | --- |
| 1 | 6.0 |
| 2 | 0.0 |
| 3 | 0.0 |
| 4 | 2.0 |
| 5 | 7.3 |
| 6 | 2.8 |
| 7 | 5.5 |
| 8 | 2.2 |